1.
VASP calculation (PBE-GGA) on crystalline In2GaBRh at its relaxed geometry.

calculated volume: 104.2 Å³ per cell
total moment: 0.5 μB per cell
E_tot: -3.545 eV/atom

Geometry as extended XYZ:
```
5
Lattice="5.299 0.000 0.000 0.000 3.712 0.000 0.000 0.000 5.299" Properties=species:S:1:pos:R:3 pbc="T T T"
Rh 2.649 1.856 2.649
B 0.000 1.856 0.000
Ga 0.000 0.000 0.000
In 0.000 0.000 2.649
In 2.649 0.000 0.000
```

***

2.
VASP calculation (PBE-GGA) on crystalline Nd2Zn3Ga4Ir at its relaxed geometry.

calculated volume: 191.0 Å³ per cell
total moment: 0.0 μB per cell
E_tot: -3.930 eV/atom

Geometry as extended XYZ:
```
10
Lattice="-3.237 0.776 -2.641 -2.749 -0.680 3.169 0.390 10.260 2.539" Properties=species:S:1:pos:R:3 pbc="T T T"
Nd -1.084 7.314 3.478
Nd -1.520 2.994 -0.676
Ga -2.993 0.048 0.264
Ga -1.230 3.457 2.524
Ga -1.373 6.851 0.279
Ga 0.000 0.000 0.000
Zn -1.282 9.245 0.871
Zn 0.195 5.130 1.269
Zn -1.321 1.063 1.931
Ir -2.798 5.178 1.533
```

***

3.
VASP calculation (PBE-GGA) on crystalline Ag2PtBr at its relaxed geometry.

excess energy over the best structure of this formula in the dataset: 61 meV/atom
calculated volume: 78.4 Å³ per cell
total moment: 0.0 μB per cell
E_tot: -3.160 eV/atom

Geometry as extended XYZ:
```
4
Lattice="3.352 -0.003 -0.002 1.962 2.717 -0.002 1.263 0.645 8.597" Properties=species:S:1:pos:R:3 pbc="T T T"
Ag 1.274 0.651 8.516
Ag 3.277 1.674 4.377
Pt 4.932 2.519 6.445
Br 1.644 0.840 2.148
```

***

4.
VASP calculation (PBE-GGA) on crystalline RbInTe3 at its relaxed geometry.

excess energy over the best structure of this formula in the dataset: 0 meV/atom
calculated volume: 362.7 Å³ per cell
total moment: 0.0 μB per cell
E_tot: -2.918 eV/atom

Geometry as extended XYZ:
```
10
Lattice="-5.156 4.513 2.689 0.083 -1.065 7.283 3.685 5.740 2.767" Properties=species:S:1:pos:R:3 pbc="T T T"
Te 1.858 5.166 7.748
Te 0.463 1.819 6.757
Te -3.224 3.914 4.845
Te -1.836 7.267 5.830
Te -2.427 3.486 8.493
Te 1.050 5.592 4.100
Rb -0.339 2.244 3.111
Rb -1.033 6.837 9.480
In -0.687 4.545 6.302
In -1.381 9.139 12.672
```

***

Repeat the fourth record exactly.
VASP calculation (PBE-GGA) on crystalline RbInTe3 at its relaxed geometry.

excess energy over the best structure of this formula in the dataset: 0 meV/atom
calculated volume: 362.7 Å³ per cell
total moment: 0.0 μB per cell
E_tot: -2.918 eV/atom

Geometry as extended XYZ:
```
10
Lattice="-5.156 4.513 2.689 0.083 -1.065 7.283 3.685 5.740 2.767" Properties=species:S:1:pos:R:3 pbc="T T T"
Te 1.858 5.166 7.748
Te 0.463 1.819 6.757
Te -3.224 3.914 4.845
Te -1.836 7.267 5.830
Te -2.427 3.486 8.493
Te 1.050 5.592 4.100
Rb -0.339 2.244 3.111
Rb -1.033 6.837 9.480
In -0.687 4.545 6.302
In -1.381 9.139 12.672
```

***

> E_tot of number 1 (In2GaBRh)?

-3.545 eV/atom

***

Repeat the third record exactly.
VASP calculation (PBE-GGA) on crystalline Ag2PtBr at its relaxed geometry.

excess energy over the best structure of this formula in the dataset: 61 meV/atom
calculated volume: 78.4 Å³ per cell
total moment: 0.0 μB per cell
E_tot: -3.160 eV/atom

Geometry as extended XYZ:
```
4
Lattice="3.352 -0.003 -0.002 1.962 2.717 -0.002 1.263 0.645 8.597" Properties=species:S:1:pos:R:3 pbc="T T T"
Ag 1.274 0.651 8.516
Ag 3.277 1.674 4.377
Pt 4.932 2.519 6.445
Br 1.644 0.840 2.148
```